(1)
CrFe2Pb: relaxed, PBE-GGA.

The structure belongs to space group Imm2 (No. 44); the cell edges are 3.4320, 4.2694 and 8.1982 Å and the angles 90.00°, 90.00° and 90.00°. Symmetry generates all atoms from Cr at (0.0000, 0.0000, 0.0000), Fe at (0.0000, 0.0000, 0.4680), Fe at (0.0000, 0.5000, 0.7548) and Pb at (0.0000, 0.5000, 0.2299).

The formation energy comes out at 2.22 eV per formula unit.

***

(2)
TbBr3: relaxed, PBE-GGA.

The structure belongs to space group Imm2 (No. 44); the cell edges are 3.7704, 11.7685 and 7.2950 Å and the angles 90.00°, 90.00° and 90.00°. Symmetry generates all atoms from Tb at (0.0000, 0.0000, 0.0000), Br at (0.0000, 0.3438, 0.6462) and Br at (0.0000, 0.5000, 0.2091).

The value obtained for the formation energy (no corrections) is -1.8344 eV per atom.